No. 1
Density functional theory data (PBE) for an optimized crystal structure of DyGa2NiPt4.

a = 8.6116 Å, b = 8.6116 Å, c = 8.6116 Å
α = 29.08°, β = 29.08°, γ = 29.08°
Fractional coordinates of all 8 atoms:
1 Dy 0.0000 0.0000 0.0000
2 Ga 0.2411 0.2411 0.2411
3 Ga 0.7589 0.7589 0.7589
4 Ni 0.5000 0.5000 0.5000
5 Pt 0.1308 0.1308 0.1308
6 Pt 0.3987 0.3987 0.3987
7 Pt 0.6013 0.6013 0.6013
8 Pt 0.8692 0.8692 0.8692

Calculated values
Magnetization   0.0 Bohr magnetons per cell
Calculated density   14.2 g cm⁻³

=====

No. 2
Density functional theory data (PBE) for an optimized crystal structure of DyAl3NiAu.

a = 6.8654 Å, b = 6.8654 Å, c = 5.8009 Å
α = 90.00°, β = 90.00°, γ = 127.30°
Fractional coordinates of all 12 atoms:
1 Dy 0.2223 0.7777 0.7500
2 Dy 0.7777 0.2223 0.2500
3 Al 0.2161 0.2161 0.0000
4 Al 0.2161 0.2161 0.5000
5 Al 0.3660 0.6340 0.2500
6 Al 0.6340 0.3660 0.7500
7 Al 0.7839 0.7839 0.0000
8 Al 0.7839 0.7839 0.5000
9 Ni 0.4327 0.5673 0.7500
10 Ni 0.5673 0.4327 0.2500
11 Au 0.1559 0.8441 0.2500
12 Au 0.8441 0.1559 0.7500

Calculated values
Magnetization   0.0 Bohr magnetons per cell
Calculated density   7.6 g cm⁻³

=====

No. 3
Density functional theory data (PBE) for an optimized crystal structure of PmErMgIr.

a = 5.0718 Å, b = 5.0718 Å, c = 5.0718 Å
α = 60.00°, β = 60.00°, γ = 60.00°
Fractional coordinates of all 4 atoms:
1 Pm 0.0000 0.0000 0.0000
2 Er 0.5000 0.5000 0.5000
3 Mg 0.7500 0.7500 0.7500
4 Ir 0.2500 0.2500 0.2500

Calculated values
Magnetization   0.0 Bohr magnetons per cell
Calculated density   9.5 g cm⁻³

=====

Energy of formation from the pure elements, record by record: -5.5, -2.8, -1.6 eV/f.u.